(1)
{"formula": "Mo2RhAu", "functional": "PBE", "state": "relaxed", "lattice_angstrom": [[-1.269, 0.904, 2.448], [3.572, -1.736, 2.493], [4.667, 2.875, 1.358]], "species": ["Mo", "Mo", "Rh", "Au"], "frac_coords": [[0.500, 0.500, 0.000], [0.000, 0.000, 0.000], [0.500, 0.500, 0.500], [0.000, 0.000, 0.500]], "ef_ev_per_fu": 0.7}


(2)
{"formula": "AcLuSb2", "functional": "PBE", "state": "relaxed", "lattice_angstrom": [[-3.410, 1.358, 2.717], [-4.291, 0.028, -1.562], [-3.468, -6.505, 2.736]], "species": ["Sb", "Ac", "Lu", "Sb"], "frac_coords": [[0.740, 0.740, 0.779], [0.500, 0.500, 0.500], [0.000, 0.000, 0.000], [0.260, 0.260, 0.221]], "raw_formation_energy_mev_per_atom": -1091.8}


(3)
{"formula": "NiAsBr2N", "functional": "PBE", "state": "relaxed", "lattice_angstrom": [[4.819, 0.000, 0.000], [0.000, 4.819, 0.000], [0.000, 0.000, 4.607]], "species": ["Br", "Ni", "Br", "N", "As"], "frac_coords": [[0.500, 0.000, 0.000], [0.000, 0.000, 0.000], [0.000, 0.500, 0.000], [0.500, 0.500, 0.500], [0.000, 0.000, 0.500]], "raw_formation_energy_mev_per_atom": 1396.8}


(4)
{"formula": "La6Hg5Ir", "functional": "PBE", "state": "relaxed", "lattice_angstrom": [[-4.629, 0.275, 2.811], [3.326, -3.917, 5.861], [1.759, 5.168, 7.639]], "species": ["Ir", "La", "Hg", "Hg", "La", "Hg", "La", "Hg", "La", "La", "Hg", "La"], "frac_coords": [[0.000, 0.000, 0.000], [0.153, 0.382, 0.695], [0.333, 0.333, 0.334], [0.690, 0.189, 0.621], [0.847, 0.618, 0.305], [0.000, 0.500, 0.000], [0.500, 0.778, 0.000], [0.310, 0.811, 0.379], [0.500, 0.222, 0.000], [0.153, 0.923, 0.695], [0.667, 0.667, 0.666], [0.847, 0.077, 0.305]], "ef_ev_per_fu": -6.6}


(5)
{"formula": "ScAlW2", "functional": "PBE", "state": "relaxed", "lattice_angstrom": [[-1.624, -8.657, -3.579], [0.015, -9.418, -1.301], [-2.846, -9.020, -0.966]], "species": ["W", "Sc", "W", "Al"], "frac_coords": [[0.504, 0.504, 0.504], [0.750, 0.750, 0.750], [0.996, 0.996, 0.996], [0.250, 0.250, 0.250]], "ef_ev_per_fu": 1.0}


(6)
{"formula": "CsTl3Se3", "functional": "PBE", "state": "relaxed", "lattice_angstrom": [[-4.445, -7.134, -0.316], [3.034, -2.224, 7.524], [-6.464, 3.862, 3.748]], "species": ["Tl", "Se", "Cs", "Cs", "Se", "Tl", "Tl", "Se", "Se", "Tl", "Se", "Tl", "Tl", "Se"], "frac_coords": [[0.000, 0.500, 0.750], [0.500, 0.000, 0.750], [0.000, 0.000, 0.000], [0.500, 0.500, 0.500], [0.500, 0.000, 0.250], [0.250, 0.000, 0.500], [0.000, 0.500, 0.250], [0.000, 0.750, 0.500], [0.750, 0.500, 0.000], [0.500, 0.250, 0.000], [0.000, 0.250, 0.500], [0.750, 0.000, 0.500], [0.500, 0.750, 0.000], [0.250, 0.500, 0.000]], "raw_formation_energy_mev_per_atom": -369.3}


(7)
{"formula": "KRbMg3", "functional": "PBE", "state": "relaxed", "lattice_angstrom": [[6.726, 0.000, 0.000], [0.000, 6.726, 0.000], [0.000, 0.000, 6.726]], "species": ["Mg", "Mg", "K", "Mg", "Rb"], "frac_coords": [[0.000, 0.000, 0.500], [0.500, 0.000, 0.000], [0.500, 0.500, 0.500], [0.000, 0.500, 0.000], [0.000, 0.000, 0.000]], "ef_ev_per_fu": 3.6}


(8)
{"formula": "MnCr2Tc", "functional": "PBE", "state": "relaxed", "lattice_angstrom": [[-3.377, 3.464, -0.211], [-1.524, -4.574, -0.450], [-1.129, -0.327, 2.251]], "species": ["Mn", "Cr", "Tc", "Cr"], "frac_coords": [[0.500, 0.000, 0.500], [0.500, 0.500, 0.000], [0.000, 0.500, 0.500], [0.000, 0.000, 0.000]], "ef_ev_per_fu": 0.4}


(9)
{"formula": "PrOs2", "functional": "PBE", "state": "relaxed", "lattice_angstrom": [[5.462, 0.000, 0.000], [2.731, 4.730, 0.000], [2.731, 1.577, 4.460]], "species": ["Os", "Pr", "Os", "Os", "Os", "Pr"], "frac_coords": [[0.125, 0.125, 0.625], [0.500, 0.500, 0.500], [0.625, 0.125, 0.125], [0.125, 0.625, 0.125], [0.125, 0.125, 0.125], [0.750, 0.750, 0.750]], "ef_ev_per_fu": -0.1}


(10)
{"formula": "La3Y8Th", "functional": "PBE", "state": "relaxed", "lattice_angstrom": [[-3.264, -4.594, 6.354], [7.023, -3.014, -3.704], [3.328, 7.546, 2.031]], "species": ["Y", "Y", "Th", "La", "Y", "La", "Y", "Y", "La", "Y", "Y", "Y"], "frac_coords": [[0.000, 0.627, 0.873], [0.754, 0.127, 0.127], [0.000, 0.000, 0.000], [0.000, 0.500, 0.500], [0.246, 0.373, 0.373], [0.500, 0.750, 0.250], [0.488, 0.753, 0.753], [0.000, 0.735, 0.247], [0.500, 0.250, 0.750], [0.000, 0.247, 0.735], [0.512, 0.265, 0.265], [0.000, 0.873, 0.627]], "ef_ev_per_fu": 7.5}


(11)
{"formula": "CrFe2I", "functional": "PBE", "state": "relaxed", "lattice_angstrom": [[5.184, 0.000, 0.000], [0.000, 5.184, 0.000], [2.592, 2.592, 5.552]], "species": ["Cr", "Fe", "Cr", "Fe", "I", "I", "Fe", "Fe"], "frac_coords": [[0.500, 0.500, 0.000], [0.875, 0.817, 0.750], [0.250, 0.750, 0.500], [0.567, 0.125, 0.250], [0.000, 0.000, 0.000], [0.750, 0.250, 0.500], [0.375, 0.433, 0.750], [0.183, 0.625, 0.250]], "raw_formation_energy_mev_per_atom": 1157.2}


(12)
{"formula": "CrCd2Se", "functional": "PBE", "state": "relaxed", "lattice_angstrom": [[-3.053, 3.497, 1.654], [-3.509, 1.806, -2.952], [-4.734, -1.067, 0.861]], "species": ["Cr", "Cd", "Se", "Cd"], "frac_coords": [[0.500, 0.500, 0.500], [0.000, 0.000, 0.000], [0.750, 0.750, 0.750], [0.250, 0.250, 0.250]], "raw_formation_energy_mev_per_atom": 246.7}


(13)
{"formula": "RbCaNbSn2", "functional": "PBE", "state": "relaxed", "lattice_angstrom": [[-3.043, -2.925, 4.086], [4.375, -3.376, 0.842], [2.027, 3.657, 4.127]], "species": ["Ca", "Rb", "Nb", "Sn", "Sn"], "frac_coords": [[0.000, 0.000, 0.000], [0.500, 0.500, 0.500], [0.000, 0.500, 0.000], [0.500, 0.000, 0.000], [0.000, 0.000, 0.500]], "ef_ev_per_fu": 5.0}


(14)
{"formula": "DyPu2Zn", "functional": "PBE", "state": "relaxed", "lattice_angstrom": [[3.331, 0.000, 0.000], [0.000, 3.331, 0.000], [0.000, 0.000, 9.282]], "species": ["Pu", "Dy", "Zn", "Pu"], "frac_coords": [[0.000, 0.000, 0.783], [0.500, 0.500, 0.500], [0.500, 0.500, 0.000], [0.000, 0.000, 0.217]], "ef_ev_per_fu": 0.4}


(15)
{"formula": "LiBe2Cr", "functional": "PBE", "state": "relaxed", "lattice_angstrom": [[6.133, 0.000, 0.000], [0.000, 6.133, 0.000], [3.066, 3.066, 2.347]], "species": ["Be", "Cr", "Li", "Be", "Be", "Li", "Cr", "Be"], "frac_coords": [[0.875, 0.865, 0.750], [0.750, 0.250, 0.500], [0.250, 0.750, 0.500], [0.615, 0.125, 0.250], [0.135, 0.625, 0.250], [0.500, 0.500, 0.000], [0.000, 0.000, 0.000], [0.375, 0.385, 0.750]], "ef_ev_per_fu": 2.6}


(16)
{"formula": "Tb2Nd3Sm6Pb", "functional": "PBE", "state": "relaxed", "lattice_angstrom": [[-0.620, -2.070, 5.862], [-2.670, -3.102, -4.720], [10.803, -4.678, -1.637]], "species": ["Nd", "Sm", "Nd", "Sm", "Pb", "Sm", "Sm", "Tb", "Sm", "Tb", "Nd", "Sm"], "frac_coords": [[0.500, 0.500, 0.500], [0.407, 0.081, 0.244], [0.169, 0.831, 0.500], [0.756, 0.756, 0.247], [0.000, 0.000, 0.000], [0.081, 0.407, 0.244], [0.919, 0.593, 0.756], [0.665, 0.335, 0.000], [0.244, 0.244, 0.753], [0.335, 0.665, 0.000], [0.831, 0.169, 0.500], [0.593, 0.919, 0.756]], "ef_ev_per_fu": -0.6}


(17)
{"formula": "Li2LaTa", "functional": "PBE", "state": "relaxed", "lattice_angstrom": [[-0.044, 2.333, -2.081], [1.319, -3.270, -3.693], [-5.441, -1.027, -1.035]], "species": ["Li", "Ta", "Li", "La"], "frac_coords": [[0.500, 0.500, 0.000], [0.500, 0.000, 0.500], [0.000, 0.000, 0.000], [0.000, 0.500, 0.500]], "ef_ev_per_fu": 2.0}


(18)
{"formula": "Li2Cd3Hg6", "functional": "PBE", "state": "relaxed", "lattice_angstrom": [[-1.967, -3.338, 1.974], [3.873, -1.806, 0.806], [-0.291, 9.566, 11.099]], "species": ["Li", "Cd", "Hg", "Hg", "Li", "Hg", "Hg", "Cd", "Cd", "Hg", "Hg"], "frac_coords": [[0.640, 0.640, 0.279], [0.837, 0.837, 0.675], [0.424, 0.924, 0.849], [0.268, 0.268, 0.536], [0.360, 0.360, 0.721], [0.924, 0.424, 0.849], [0.076, 0.576, 0.151], [0.163, 0.163, 0.325], [0.000, 0.000, 0.000], [0.576, 0.076, 0.151], [0.732, 0.732, 0.464]], "ef_ev_per_fu": -0.7}


(19)
{"formula": "KMgUCl6", "functional": "PBE", "state": "relaxed", "lattice_angstrom": [[6.946, 0.000, 0.000], [-3.473, 6.016, 0.000], [0.000, 0.000, 13.707]], "species": ["Cl", "Cl", "Cl", "Cl", "Cl", "U", "K", "U", "Mg", "Cl", "Cl", "Cl", "K", "Cl", "Cl", "Cl", "Mg", "Cl"], "frac_coords": [[0.975, 0.357, 0.142], [0.619, 0.643, 0.642], [0.357, 0.975, 0.642], [0.643, 0.025, 0.358], [0.381, 0.025, 0.142], [0.333, 0.667, 0.250], [0.000, 0.000, 0.500], [0.667, 0.333, 0.750], [0.333, 0.667, 0.750], [0.619, 0.975, 0.858], [0.975, 0.619, 0.358], [0.357, 0.381, 0.858], [0.000, 0.000, 0.000], [0.025, 0.643, 0.858], [0.025, 0.381, 0.642], [0.381, 0.357, 0.358], [0.667, 0.333, 0.250], [0.643, 0.619, 0.142]], "raw_formation_energy_mev_per_atom": -1809.8}


(20)
{"formula": "TbNd3Sm7", "functional": "PBE", "state": "relaxed", "lattice_angstrom": [[-1.135, 5.862, -2.527], [0.081, -2.598, -7.353], [-7.657, -1.270, -0.811]], "species": ["Sm", "Sm", "Sm", "Sm", "Tb", "Sm", "Sm", "Nd", "Nd", "Nd", "Sm"], "frac_coords": [[0.739, 0.915, 0.572], [0.000, 0.500, 0.500], [0.787, 0.240, 0.240], [0.261, 0.085, 0.428], [0.500, 0.500, 0.500], [0.213, 0.760, 0.760], [0.739, 0.572, 0.915], [0.000, 0.827, 0.173], [0.500, 0.000, 0.000], [0.000, 0.173, 0.827], [0.261, 0.428, 0.085]], "ef_ev_per_fu": 2.5}


(21)
{"formula": "CuAgPt2Se", "functional": "PBE", "state": "relaxed", "lattice_angstrom": [[-1.563, 4.045, 1.663], [-1.984, -2.238, 3.581], [3.902, 0.492, 2.469]], "species": ["Pt", "Se", "Cu", "Ag", "Pt"], "frac_coords": [[0.000, 0.000, 0.500], [0.500, 0.500, 0.500], [0.000, 0.000, 0.000], [0.000, 0.500, 0.000], [0.500, 0.000, 0.000]], "raw_formation_energy_mev_per_atom": 849.1}


(22)
{"formula": "K3RbAg2", "functional": "PBE", "state": "relaxed", "lattice_angstrom": [[4.765, 0.000, 0.960], [1.963, 10.009, 2.562], [-0.065, 0.273, 12.622]], "species": ["K", "K", "K", "K", "Rb", "Ag", "K", "Ag", "K", "Rb", "Ag", "Ag"], "frac_coords": [[0.164, 0.922, 0.750], [0.412, 0.741, 0.435], [0.588, 0.259, 0.565], [0.836, 0.078, 0.250], [0.844, 0.571, 0.740], [0.765, 0.931, 0.539], [0.411, 0.231, 0.948], [0.235, 0.569, 0.961], [0.589, 0.769, 0.052], [0.156, 0.429, 0.260], [0.235, 0.069, 0.461], [0.765, 0.431, 0.039]], "ef_ev_per_fu": 0.1}


(23)
{"formula": "TlAgPb2I", "functional": "PBE", "state": "relaxed", "lattice_angstrom": [[-1.035, 5.285, 0.976], [-5.386, -1.589, 2.890], [2.664, -0.359, 4.768]], "species": ["Pb", "Pb", "Ag", "I", "Tl"], "frac_coords": [[0.000, 0.000, 0.500], [0.500, 0.000, 0.000], [0.000, 0.000, 0.000], [0.000, 0.500, 0.000], [0.500, 0.500, 0.500]], "raw_formation_energy_mev_per_atom": 231.2}


(24)
{"formula": "RePRuCl2", "functional": "PBE", "state": "relaxed", "lattice_angstrom": [[-0.963, 1.147, -4.626], [2.258, -4.046, -1.473], [-3.964, -2.304, 0.254]], "species": ["Cl", "Re", "Ru", "P", "Cl"], "frac_coords": [[0.500, 0.000, 0.000], [0.000, 0.000, 0.000], [0.500, 0.500, 0.500], [0.000, 0.000, 0.500], [0.000, 0.500, 0.000]], "raw_formation_energy_mev_per_atom": 1139.3}


(25)
{"formula": "HgWSe2", "functional": "PBE", "state": "relaxed", "lattice_angstrom": [[-2.840, 3.719, -1.251], [-4.632, 0.091, 1.413], [-1.446, 3.179, 3.357]], "species": ["Hg", "W", "Se", "Se"], "frac_coords": [[0.500, 0.500, 0.500], [0.750, 0.750, 0.750], [0.000, 0.000, 0.000], [0.250, 0.250, 0.250]], "raw_formation_energy_mev_per_atom": 1052.3}